Entry 1:
First-principles (GGA-PBE) data for an optimized crystal structure of Sm8Ge2Ru, as listed in Alexandria.

abc: 9.7046 9.7046 7.0057
angles: 100.48 100.48 28.37
Last column: nearest neighbours and their distance in Å.
Positions (direct):
Sm1 0.0163 0.0163 0.2801  2 Ru 2.88, 1 Ge 3.15
Sm2 0.2167 0.2167 0.8360  3 Ge 3.13-3.19, 4 Sm 3.38-3.39
Sm3 0.3490 0.3490 0.4947  1 Ru 2.83, 2 Ge 3.07
Sm4 0.4053 0.4053 0.0110  2 Ge 3.27, 9 Sm 3.48-3.62, 1 Ru 3.55
Sm5 0.5947 0.5947 0.9890  2 Ge 3.27, 9 Sm 3.48-3.62, 1 Ru 3.55
Sm6 0.6510 0.6510 0.5053  1 Ru 2.83, 2 Ge 3.07
Sm7 0.7833 0.7833 0.1640  3 Ge 3.13-3.19, 4 Sm 3.38-3.39
Sm8 0.9837 0.9837 0.7199  2 Ru 2.88, 1 Ge 3.15
Ge1 0.1816 0.1816 0.2554  9 Sm 3.07-3.28
Ge2 0.8184 0.8184 0.7446  9 Sm 3.07-3.28
Ru1 0.5000 0.5000 0.5000  6 Sm 2.83-2.88

Computed properties:
As for the volume: 28.0 A^3/atom. As for the formation enthalpy at 0 K: -0.356 eV/atom. The calculation puts the density of states at the Fermi level at 0.9315 states/eV/atom. As for the total moment: 0.00 μB per atom.

=====

Entry 2:
First-principles (GGA-PBE) data for an optimized crystal structure of TlMoP2, as listed in Alexandria.

abc: 3.5467 4.5026 4.8634
angles: 90.00 111.22 90.00
Last column: nearest neighbours and their distance in Å.
Positions (direct):
Tl1 0.0000 0.0000 0.0000  3 P 2.50-2.70
Mo1 0.6148 0.5000 0.2292  5 P 2.46-2.72
P1 0.3135 0.5000 0.6287  3 Mo 2.53-2.72
P2 0.7222 0.0000 0.4495  2 Mo 2.46, 3 Tl 2.50-2.70

Computed properties:
As for the volume: 18.1 A^3/atom. As for the formation enthalpy at 0 K: 0.290 eV/atom. The calculation puts the density of states at the Fermi level at 0.7237 states/eV/atom. As for the total moment: 0.00 μB per atom. The value obtained for the energy above the lowest structure with this stoichiometry is 0.378 eV/atom.

=====

Entry 3:
First-principles (GGA-PBE) data for an optimized crystal structure of SrHfB2Au, as listed in Alexandria.

abc: 4.3250 4.3250 5.5249
angles: 90.00 90.00 90.00
Last column: nearest neighbours and their distance in Å.
Positions (direct):
Sr1 0.0000 0.0000 0.0000  2 Au 2.76, 4 Hf 3.06
Hf1 0.5000 0.5000 0.0000  4 Sr 3.06
B1 0.0000 0.5000 0.5000  2 Au 2.16
B2 0.5000 0.0000 0.5000  2 Au 2.16
Au1 0.0000 0.0000 0.5000  4 B 2.16

Computed properties:
As for the volume: 20.7 A^3/atom. As for the formation enthalpy at 0 K: 1.502 eV/atom. The calculation puts the density of states at the Fermi level at 0.8255 states/eV/atom. As for the total moment: 0.00 μB per atom. The value obtained for the energy above the lowest structure with this stoichiometry is 0.887 eV/atom.

=====

Entry 4:
First-principles (GGA-PBE) data for an optimized crystal structure of Pu3Th2PaP6, as listed in Alexandria.

abc: 7.0356 7.0356 6.9746
angles: 99.71 99.71 119.93
Last column: nearest neighbours and their distance in Å.
Positions (direct):
Pu1 0.0000 0.0000 0.0000  6 P 2.83-2.91
Pu2 0.3311 0.6689 0.0000  6 P 2.82-2.88
Pu3 0.6689 0.3311 0.0000  6 P 2.82-2.88
Th1 0.1663 0.8337 0.5000  6 P 2.90-2.91
Th2 0.8337 0.1663 0.5000  6 P 2.90-2.91
Pa1 0.5000 0.5000 0.5000  6 P 2.83
P1 0.0909 0.4161 0.2457  3 Pu 2.82-2.88, 1 Pa 2.83, 2 Th 2.90-2.91
P2 0.2620 0.2620 0.7550  1 Pa 2.83, 3 Pu 2.83-2.91, 2 Th 2.91
P3 0.4161 0.0909 0.2457  3 Pu 2.82-2.88, 1 Pa 2.83, 2 Th 2.90-2.91
P4 0.5839 0.9091 0.7543  3 Pu 2.82-2.88, 1 Pa 2.83, 2 Th 2.90-2.91
P5 0.7380 0.7380 0.2450  1 Pa 2.83, 3 Pu 2.83-2.91, 2 Th 2.91
P6 0.9091 0.5839 0.7543  3 Pu 2.82-2.88, 1 Pa 2.83, 2 Th 2.90-2.91

Computed properties:
As for the volume: 23.5 A^3/atom. As for the formation enthalpy at 0 K: -1.319 eV/atom. The calculation puts the density of states at the Fermi level at 2.8173 states/eV/atom. As for the total moment: 0.45 μB per atom.

=====

Entry 5:
First-principles (GGA-PBE) data for an optimized crystal structure of KBaTmBr6, as listed in Alexandria.

abc: 7.9402 7.9402 13.6373
angles: 90.00 90.00 120.00
Last column: nearest neighbours and their distance in Å.
Positions (direct):
K1 0.0000 0.0000 0.0000  6 Br 3.40
K2 0.0000 0.0000 0.5000  6 Br 3.40
Ba1 0.3333 0.6667 0.2500  6 Br 3.25
Ba2 0.6667 0.3333 0.7500  6 Br 3.25
Tm1 0.3333 0.6667 0.7500  6 Br 2.78
Tm2 0.6667 0.3333 0.2500  6 Br 2.78
Br1 0.0446 0.3833 0.6321  1 Tm 2.78
Br2 0.0446 0.6613 0.8679  1 Tm 2.78
Br3 0.3387 0.3833 0.8679  1 Tm 2.78
Br4 0.3387 0.9554 0.6321  1 Tm 2.78
Br5 0.3833 0.0446 0.1321  1 Tm 2.78
Br6 0.3833 0.3387 0.3679  1 Tm 2.78
Br7 0.6167 0.6613 0.6321  1 Tm 2.78
Br8 0.6167 0.9554 0.8679  1 Tm 2.78
Br9 0.6613 0.0446 0.3679  1 Tm 2.78
Br10 0.6613 0.6167 0.1321  1 Tm 2.78
Br11 0.9554 0.3387 0.1321  1 Tm 2.78
Br12 0.9554 0.6167 0.3679  1 Tm 2.78

Computed properties:
As for the volume: 41.4 A^3/atom. The calculation puts the density of states at the Fermi level at 0.0000 states/eV/atom. As for the total moment: 0.00 μB per atom. As for the formation energy (no corrections): -1954 meV per atom.

=====

Entry 6:
First-principles (GGA-PBE) data for an optimized crystal structure of CaHoGaRh, as listed in Alexandria.

abc: 4.9512 4.9512 4.9512
angles: 60.00 60.00 60.00
Last column: nearest neighbours and their distance in Å.
Positions (direct):
Ca1 0.0000 0.0000 0.0000  4 Rh 3.03, 4 Ga 3.03
Ho1 0.5000 0.5000 0.5000  4 Rh 3.03, 4 Ga 3.03
Ga1 0.2500 0.2500 0.2500  4 Ho 3.03, 4 Ca 3.03
Rh1 0.7500 0.7500 0.7500  4 Ho 3.03, 4 Ca 3.03

Computed properties:
As for the volume: 21.5 A^3/atom. As for the formation enthalpy at 0 K: -0.522 eV/atom. The calculation puts the density of states at the Fermi level at 0.7900 states/eV/atom. As for the total moment: 0.00 μB per atom.